Record 1
First-principles (PBE) data for crystalline KMgGa2Os at its relaxed geometry, as listed in Alexandria.

Cell and atoms, written as POSCAR:
```
KMgGa2Os
1.0
4.8854 0.0000 0.0000
0.0000 4.8854 0.0000
0.0000 0.0000 5.1332
K Mg Ga Os
1 1 2 1
direct
0.0000 0.0000 0.0000 K
0.5000 0.5000 0.0000 Mg
0.0000 0.5000 0.5000 Ga
0.5000 0.0000 0.5000 Ga
0.5000 0.5000 0.5000 Os
```

Calculated values
The calculation puts the volume at 123 Å³/f.u. Its magnetization is 0.0 μB/f.u. The density of states at the Fermi level is 0.28 states/eV per atom. The formation energy comes out at -106 meV/atom. As for the total energy: -4.10 eV/atom.

---

Record 2
First-principles (PBE) data for crystalline KMgGaPb2 at its relaxed geometry, as listed in Alexandria.

Cell and atoms, written as POSCAR:
```
KMgGaPb2
1.0
5.6468 0.0000 0.0000
0.0000 5.6468 0.0000
0.0000 0.0000 5.3789
K Mg Ga Pb
1 1 1 2
direct
0.0000 0.0000 0.0000 K
0.5000 0.5000 0.5000 Mg
0.5000 0.5000 0.0000 Ga
0.0000 0.5000 0.5000 Pb
0.5000 0.0000 0.5000 Pb
```

Calculated values
The calculation puts the volume at 172 Å³/f.u. Its magnetization is 0.0 μB/f.u. The density of states at the Fermi level is 0.64 states/eV per atom. The formation energy comes out at 155 meV/atom. As for the total energy: -2.47 eV/atom.

---

Record 3
First-principles (PBE) data for crystalline KMgGa2Pd at its relaxed geometry, as listed in Alexandria.

Cell and atoms, written as POSCAR:
```
KMgGa2Pd
1.0
4.9412 0.0000 0.0000
0.0000 4.9412 0.0000
0.0000 0.0000 5.1227
K Mg Ga Pd
1 1 2 1
direct
0.0000 0.0000 0.0000 K
0.5000 0.5000 0.0000 Mg
0.0000 0.5000 0.5000 Ga
0.5000 0.0000 0.5000 Ga
0.5000 0.5000 0.5000 Pd
```

Calculated values
The calculation puts the volume at 125 Å³/f.u. The offset from the most stable computed form comes out at 0 meV per atom. Its magnetization is 0.0 μB/f.u. The density of states at the Fermi level is 0.52 states/eV per atom. The formation energy comes out at -211 meV/atom. As for the total energy: -3.00 eV/atom.

---

Record 4
First-principles (PBE) data for crystalline KMgGa2Pd at its relaxed geometry, as listed in Alexandria.

Cell and atoms, written as POSCAR:
```
KMgGa2Pd
1.0
4.9256 0.0000 0.0000
0.0000 4.9256 0.0000
0.0000 0.0000 5.9472
K Mg Ga Pd
1 1 2 1
direct
0.0000 0.0000 0.0000 K
0.5000 0.5000 0.0000 Mg
0.0000 0.5000 0.5000 Ga
0.5000 0.0000 0.5000 Ga
0.0000 0.0000 0.5000 Pd
```

Calculated values
The calculation puts the volume at 144 Å³/f.u. The offset from the most stable computed form comes out at 278 meV per atom. Its magnetization is 0.0 μB/f.u. The density of states at the Fermi level is 0.61 states/eV per atom. The formation energy comes out at 67 meV/atom. As for the total energy: -2.72 eV/atom.

---

Record 5
First-principles (PBE) data for crystalline KMg2GaPt at its relaxed geometry, as listed in Alexandria.

Cell and atoms, written as POSCAR:
```
KMg2GaPt
1.0
5.1696 0.0000 0.0000
0.0000 5.1696 0.0000
0.0000 0.0000 4.8828
K Mg Ga Pt
1 2 1 1
direct
0.0000 0.0000 0.0000 K
0.0000 0.5000 0.5000 Mg
0.5000 0.0000 0.5000 Mg
0.5000 0.5000 0.0000 Ga
0.5000 0.5000 0.5000 Pt
```

Calculated values
The calculation puts the volume at 130 Å³/f.u. Its magnetization is 0.0 μB/f.u. The density of states at the Fermi level is 0.31 states/eV per atom. The formation energy comes out at -383 meV/atom. As for the total energy: -3.05 eV/atom.

---

Record 6
First-principles (PBE) data for crystalline KMgGa2Pt at its relaxed geometry, as listed in Alexandria.

Cell and atoms, written as POSCAR:
```
KMgGa2Pt
1.0
4.9329 0.0000 0.0000
0.0000 4.9329 0.0000
0.0000 0.0000 5.1491
K Mg Ga Pt
1 1 2 1
direct
0.0000 0.0000 0.0000 K
0.5000 0.5000 0.0000 Mg
0.0000 0.5000 0.5000 Ga
0.5000 0.0000 0.5000 Ga
0.5000 0.5000 0.5000 Pt
```

Calculated values
The calculation puts the volume at 125 Å³/f.u. Its magnetization is 0.0 μB/f.u. The density of states at the Fermi level is 0.54 states/eV per atom. The formation energy comes out at -322 meV/atom. As for the total energy: -3.28 eV/atom.